Entry from the Alexandria database: an optimized crystal structure of TlInClF (GGA-PBE).

```
8
Lattice="-3.565 -3.785 0.508 -0.429 -2.595 4.513 -8.500 5.091 5.142" Properties=species:S:1:pos:R:3 pbc="T T T"
Tl -5.788 2.361 3.830
Tl -6.706 -3.649 6.333
In -9.980 -0.353 7.917
In -2.515 -0.935 2.246
Cl -4.266 -2.639 4.123
Cl -8.228 1.351 6.040
F -8.412 -1.931 7.158
F -4.082 0.643 3.004
```

Properties
Total magnetization = 0.00 μB per formula unit
Polymorph energy (0 for the lowest one) = 0 meV/atom
Formation energy from raw total energies = -121 kJ per mole of atoms